{
  "formula": "RbAc2In",
  "functional": "GGA-PBE",
  "state": "relaxed",
  "cell": [[4.102, 0.000, 0.000], [-2.051, 3.552, 0.000], [0.000, 0.000, 40.643]],
  "species": ["Rb", "Rb", "Rb", "Ac", "Ac", "Ac", "Ac", "Ac", "Ac", "In", "In", "In"],
  "fractional_positions": [[0.000, 0.000, 0.000], [0.333, 0.667, 0.667], [0.667, 0.333, 0.333], [0.000, 0.000, 0.106], [0.000, 0.000, 0.894], [0.333, 0.667, 0.561], [0.333, 0.667, 0.773], [0.667, 0.333, 0.227], [0.667, 0.333, 0.439], [0.000, 0.000, 0.500], [0.333, 0.667, 0.167], [0.667, 0.333, 0.833]],
  "de_polymorph_mev_per_atom": 76,
  "mass_density_g_cm3": 5.5,
  "total_magnetization_mub_per_cell": 0.00
}